a | Here is a relaxed Cr2Ru2Pt crystal from Alexandria via LeMat-Bulk. Energies are from GGA-PBE.

Lattice parameters (Å, degrees): 7.0622 7.0622 2.7402 90.00 90.00 90.00
Fractional positions:
Cr1 0.1241 0.3759 0.0000
Ru1 0.6690 0.8310 0.5000
Pt1 0.5000 0.5000 0.0000
Ru2 0.3310 0.1690 0.5000
Ru3 0.8310 0.3310 0.5000
Ru4 0.1690 0.6690 0.5000
Cr2 0.8759 0.6241 0.0000
Cr3 0.3759 0.8759 0.0000
Pt2 0.0000 0.0000 0.0000
Cr4 0.6241 0.1241 0.0000

Calculated values
The symmetry is P4/mbm. Its density of states at the Fermi level is 1.01 states/eV/atom.

b | Here is a relaxed Cr2Ru2Pt crystal from Alexandria via LeMat-Bulk. Energies are from GGA-PBE.

Lattice parameters (Å, degrees): 3.8168 3.8168 5.7209 70.51 70.51 90.00
Fractional positions:
Cr1 0.3936 0.3936 0.2128
Cr2 0.6064 0.6064 0.7872
Pt1 0.0000 0.0000 0.0000
Ru1 0.7500 0.2500 0.5000
Ru2 0.2500 0.7500 0.5000

Calculated values
The symmetry is I4/mmm. Its density of states at the Fermi level is 0.87 states/eV/atom.

Relative to the most stable structure, the computed energies are a 0; b 289, all in meV per atom.

a | Here is a relaxed Cr2RuPt2 crystal from Alexandria via LeMat-Bulk. Energies are from GGA-PBE.

Lattice parameters (Å, degrees): 7.3302 7.3302 2.6616 90.00 90.00 90.00
Fractional positions:
Pt1 0.6295 0.1295 0.0000
Cr1 0.6697 0.8303 0.5000
Pt2 0.8705 0.6295 0.0000
Cr2 0.1697 0.6697 0.5000
Cr3 0.8303 0.3303 0.5000
Cr4 0.3303 0.1697 0.5000
Ru1 0.0000 0.0000 0.0000
Pt3 0.3705 0.8705 0.0000
Ru2 0.5000 0.5000 0.0000
Pt4 0.1295 0.3705 0.0000

Calculated values
The symmetry is P4/mbm. Its density of states at the Fermi level is 1.23 states/eV/atom.

b | Here is a relaxed Cr2RuPt2 crystal from Alexandria via LeMat-Bulk. Energies are from GGA-PBE.

Lattice parameters (Å, degrees): 7.2407 7.2407 2.7107 90.00 90.00 90.00
Last column: magnetic moment on the atom in μB.
Fractional positions:
Ru1 0.5000 0.5000 0.0000  0.60
Cr1 0.3886 0.8886 0.0000  -0.22
Cr2 0.1114 0.3886 0.0000  -0.23
Cr3 0.6114 0.1114 0.0000  -0.22
Pt1 0.6807 0.8193 0.5000  0.00
Pt2 0.8193 0.3193 0.5000  0.01
Ru2 0.0000 0.0000 0.0000  0.60
Cr4 0.8886 0.6114 0.0000  -0.23
Pt3 0.3193 0.1807 0.5000  0.00
Pt4 0.1807 0.6807 0.5000  0.01

Calculated values
The symmetry is P4/mbm. Its density of states at the Fermi level is 1.19 states/eV/atom.

Relative to the most stable structure, the computed energies are a 0; b 17, all in meV per atom.

a | Here is a relaxed Cr3RuPt crystal from Alexandria via LeMat-Bulk. Energies are from GGA-PBE.

Lattice parameters (Å, degrees): 4.4827 4.4827 4.4827 90.00 90.00 90.00
Last column: magnetic moment on the atom in μB.
Fractional positions:
Cr1 0.5000 0.0000 0.0000  0.19
Pt1 0.0000 0.0000 0.0000  0.00
Ru1 0.5000 0.5000 0.5000  1.40
Cr2 0.0000 0.5000 0.0000  0.16
Cr3 0.0000 0.0000 0.5000  0.07

Calculated values
The symmetry is Pm-3m. Its density of states at the Fermi level is 1.92 states/eV/atom.

b | Here is a relaxed Cr3RuPt crystal from Alexandria via LeMat-Bulk. Energies are from GGA-PBE.

Lattice parameters (Å, degrees): 4.3693 4.3693 4.3693 90.00 90.00 90.00
Fractional positions:
Cr1 0.0000 0.0000 0.5000
Cr2 0.5000 0.0000 0.0000
Pt1 0.5000 0.5000 0.5000
Cr3 0.0000 0.5000 0.0000
Ru1 0.0000 0.0000 0.0000

Calculated values
The symmetry is Pm-3m. Its density of states at the Fermi level is 1.49 states/eV/atom.

Relative to the most stable structure, the computed energies are a 461; b 0, all in meV per atom.

a | Here is a relaxed CrSb2TePt crystal from Alexandria via LeMat-Bulk. Energies are from GGA-PBE.

Lattice parameters (Å, degrees): 4.9477 4.9477 4.9086 90.00 90.00 90.00
Fractional positions:
Te1 0.0000 0.0000 0.5000
Pt1 0.5000 0.5000 0.5000
Cr1 0.0000 0.0000 0.0000
Sb1 0.0000 0.5000 0.0000
Sb2 0.5000 0.0000 0.0000

Calculated values
The symmetry is P4/mmm. Its density of states at the Fermi level is 0.82 states/eV/atom.

b | Here is a relaxed CrSb2TePt crystal from Alexandria via LeMat-Bulk. Energies are from GGA-PBE.

Lattice parameters (Å, degrees): 5.3198 4.7379 5.3198 90.00 90.00 90.00
Last column: magnetic moment on the atom in μB.
Fractional positions:
Sb1 0.0000 0.0000 0.5000  -0.03
Sb2 0.5000 0.0000 0.0000  -0.04
Cr1 0.0000 0.5000 0.0000  0.17
Pt1 0.0000 0.0000 0.0000  0.00
Te1 0.5000 0.5000 0.5000  0.02

Calculated values
The symmetry is P4/mmm. Its density of states at the Fermi level is 1.32 states/eV/atom.

Relative to the most stable structure, the computed energies are a 0; b 173, all in meV per atom.

a | Here is a relaxed ScCr3Pt crystal from Alexandria via LeMat-Bulk. Energies are from GGA-PBE.

Lattice parameters (Å, degrees): 4.2323 4.2323 4.2323 90.00 90.00 90.00
Fractional positions:
Cr1 0.0000 0.0000 0.5000
Pt1 0.5000 0.5000 0.5000
Sc1 0.0000 0.0000 0.0000
Cr2 0.5000 0.0000 0.0000
Cr3 0.0000 0.5000 0.0000

Calculated values
The symmetry is Pm-3m. Its density of states at the Fermi level is 1.16 states/eV/atom.

b | Here is a relaxed ScCr3Pt crystal from Alexandria via LeMat-Bulk. Energies are from GGA-PBE.

Lattice parameters (Å, degrees): 4.8199 4.8199 4.8199 90.00 90.00 90.00
Last column: magnetic moment on the atom in μB.
Fractional positions:
Cr1 0.0000 0.0000 0.5000  3.31
Cr2 0.0000 0.5000 0.0000  3.41
Cr3 0.5000 0.0000 0.0000  3.34
Sc1 0.5000 0.5000 0.5000  -0.21
Pt1 0.0000 0.0000 0.0000  0.16

Calculated values
The symmetry is Pm-3m. Its density of states at the Fermi level is 2.52 states/eV/atom.

Relative to the most stable structure, the computed energies are a 777; b 0, all in meV per atom.

a | Here is a relaxed ScCr2Pt2 crystal from Alexandria via LeMat-Bulk. Energies are from GGA-PBE.

Lattice parameters (Å, degrees): 7.4901 7.4901 2.7474 90.00 90.00 90.00
Last column: magnetic moment on the atom in μB.
Fractional positions:
Pt1 0.1944 0.6944 0.5000  0.00
Cr1 0.9048 0.5952 0.0000  0.00
Cr2 0.5952 0.0952 0.0000  0.00
Cr3 0.4048 0.9048 0.0000  0.00
Pt2 0.8056 0.3056 0.5000  0.00
Sc1 0.0000 0.0000 0.0000  0.18
Cr4 0.0952 0.4048 0.0000  0.00
Sc2 0.5000 0.5000 0.0000  0.18
Pt3 0.3056 0.1944 0.5000  0.00
Pt4 0.6944 0.8056 0.5000  0.00

Calculated values
The symmetry is P4/mbm. Its density of states at the Fermi level is 1.19 states/eV/atom.

b | Here is a relaxed ScCr2Pt2 crystal from Alexandria via LeMat-Bulk. Energies are from GGA-PBE.

Lattice parameters (Å, degrees): 3.3796 3.3796 7.2952 76.61 76.61 90.00
Fractional positions:
Sc1 0.0000 0.0000 0.0000
Cr1 0.2500 0.7500 0.5000
Pt1 0.3990 0.3990 0.2020
Pt2 0.6010 0.6010 0.7980
Cr2 0.7500 0.2500 0.5000

Calculated values
The symmetry is I4/mmm. Its density of states at the Fermi level is 1.48 states/eV/atom.

Relative to the most stable structure, the computed energies are a 15; b 0, all in meV per atom.